[1]
# Mo3Ru2Pt2

An optimized crystal structure of Mo3Ru2Pt2 (PBE, the Alexandria database).

```
data_Mo3Ru2Pt2
_space_group_name_H-M_alt 'C m m m'
_space_group_IT_number 65
_space_group_name_Hall '-C 2 2'
_cell_length_a 4.1447
_cell_length_b 18.7802
_cell_length_c 2.7364
_cell_angle_alpha 90.00
_cell_angle_beta 90.00
_cell_angle_gamma 90.00
loop_
_atom_site_label
_atom_site_type_symbol
_atom_site_fract_x
_atom_site_fract_y
_atom_site_fract_z
_atom_site_occupancy
Mo1 Mo 0.0000 0.0000 0.0000 1
Mo2 Mo 0.0000 0.1534 0.0000 1
Ru1 Ru 0.0000 0.2866 0.5000 1
Pt1 Pt 0.0000 0.4277 0.5000 1
```

## Properties
The density of states at the Fermi level comes out at 15.86 states/eV/cell. For the energy of formation from the pure elements, the calculation gives -0.089 eV/atom. As for the total energy: -127.51 eV per cell.

[2]
# Ho6GaTe5

An optimized crystal structure of Ho6GaTe5 (PBE, the Alexandria database).

```
data_Ho6GaTe5
_space_group_name_H-M_alt 'C 1 2/m 1'
_space_group_IT_number 12
_space_group_name_Hall '-C 2y'
_cell_length_a 7.5166
_cell_length_b 12.9417
_cell_length_c 7.4845
_cell_angle_alpha 90.00
_cell_angle_beta 109.44
_cell_angle_gamma 90.00
loop_
_atom_site_label
_atom_site_type_symbol
_atom_site_fract_x
_atom_site_fract_y
_atom_site_fract_z
_atom_site_occupancy
Ho1 Ho 0.2249 0.0000 0.2606 1
Ho2 Ho 0.2304 0.1546 0.7315 1
Ga1 Ga 0.0000 0.0000 0.5000 1
Te1 Te 0.0000 0.1762 0.0000 1
Te2 Te 0.0000 0.3361 0.5000 1
Te3 Te 0.0000 0.5000 0.0000 1
```

## Properties
The density of states at the Fermi level comes out at 10.43 states/eV/cell. As for the total energy: -121.53 eV per cell. The value obtained for the formation energy without anion corrections is -1214 meV per atom.

[3]
# ErSi2IrRh

An optimized crystal structure of ErSi2IrRh (PBE, the Alexandria database).

```
data_ErSi2IrRh
_space_group_name_H-M_alt 'I -4 m 2'
_space_group_IT_number 119
_space_group_name_Hall 'I -4 -2'
_cell_length_a 4.0619
_cell_length_b 4.0619
_cell_length_c 9.9361
_cell_angle_alpha 90.00
_cell_angle_beta 90.00
_cell_angle_gamma 90.00
loop_
_atom_site_label
_atom_site_type_symbol
_atom_site_fract_x
_atom_site_fract_y
_atom_site_fract_z
_atom_site_occupancy
Er1 Er 0.0000 0.0000 0.0000 1
Si1 Si 0.0000 0.0000 0.3792 1
Ir1 Ir 0.0000 0.5000 0.7500 1
Rh1 Rh 0.0000 0.5000 0.2500 1
```

## Properties
The density of states at the Fermi level comes out at 3.84 states/eV/cell. As for the total energy: -74.25 eV per cell. The value obtained for the formation energy without anion corrections is -1101 meV per atom.